# PBE-GGA Ni2Ir2Rh, optimized geometry
data_Ni2Ir2Rh
_space_group_name_H-M_alt 'P 4/m b m'
_space_group_IT_number 127
_space_group_name_Hall '-P 4 2ab'
_cell_length_a 7.032
_cell_length_b 7.032
_cell_length_c 2.724
_cell_angle_alpha 90.00
_cell_angle_beta 90.00
_cell_angle_gamma 90.00
loop_
_atom_site_label
_atom_site_fract_x
_atom_site_fract_y
_atom_site_fract_z
Ni1 0.121 0.379 0.000
Ir1 0.176 0.676 0.500
Rh1 0.000 0.000 0.000
# * energy above the most stable polymorph in this dataset: 254.8 meV/atom
# * calculated formation energy: 24.5 kJ/mol of atoms
# * theoretical density: 14.91 g/cm3



# PBE-GGA Ni2Ir6Rh, optimized geometry
data_Ni2Ir6Rh
_space_group_name_H-M_alt 'R 3 m'
_space_group_IT_number 160
_space_group_name_Hall 'R 3 -2"'
_cell_length_a 5.2682
_cell_length_b 5.2682
_cell_length_c 18.8604
_cell_angle_alpha 90.00
_cell_angle_beta 90.00
_cell_angle_gamma 120.00
loop_
_atom_site_label
_atom_site_fract_x
_atom_site_fract_y
_atom_site_fract_z
Ni1 0.0000 0.0000 0.0000
Ni2 0.0000 0.0000 0.2136
Ir1 0.1698 0.3396 0.3300
Ir2 0.1701 0.3403 0.5469
Rh1 0.0000 0.0000 0.4369
# * energy above the most stable polymorph in this dataset: 61.4 meV/atom
# * calculated formation energy: 47.9 kJ/mol of atoms
# * theoretical density: 15.09 g/cm3



Repeat the first record exactly.
# PBE-GGA Ni2Ir2Rh, optimized geometry
data_Ni2Ir2Rh
_space_group_name_H-M_alt 'P 4/m b m'
_space_group_IT_number 127
_space_group_name_Hall '-P 4 2ab'
_cell_length_a 7.032
_cell_length_b 7.032
_cell_length_c 2.724
_cell_angle_alpha 90.00
_cell_angle_beta 90.00
_cell_angle_gamma 90.00
loop_
_atom_site_label
_atom_site_fract_x
_atom_site_fract_y
_atom_site_fract_z
Ni1 0.121 0.379 0.000
Ir1 0.176 0.676 0.500
Rh1 0.000 0.000 0.000
# * energy above the most stable polymorph in this dataset: 254.8 meV/atom
# * calculated formation energy: 24.5 kJ/mol of atoms
# * theoretical density: 14.91 g/cm3



The highest calculated formation energy belongs to which entry? Ni2Ir6Rh



Number 2 is which compound? Ni2Ir6Rh



Please write out number 2 again, unchanged.
# PBE-GGA Ni2Ir6Rh, optimized geometry
data_Ni2Ir6Rh
_space_group_name_H-M_alt 'R 3 m'
_space_group_IT_number 160
_space_group_name_Hall 'R 3 -2"'
_cell_length_a 5.2682
_cell_length_b 5.2682
_cell_length_c 18.8604
_cell_angle_alpha 90.00
_cell_angle_beta 90.00
_cell_angle_gamma 120.00
loop_
_atom_site_label
_atom_site_fract_x
_atom_site_fract_y
_atom_site_fract_z
Ni1 0.0000 0.0000 0.0000
Ni2 0.0000 0.0000 0.2136
Ir1 0.1698 0.3396 0.3300
Ir2 0.1701 0.3403 0.5469
Rh1 0.0000 0.0000 0.4369
# * energy above the most stable polymorph in this dataset: 61.4 meV/atom
# * calculated formation energy: 47.9 kJ/mol of atoms
# * theoretical density: 15.09 g/cm3